The following is a DFT calculation (PBE-GGA) of a geometry-optimized Pm2AlSiPd6 structure.

- E_form (uncorrected): -0.738 eV per atom
- Magnetic moment: 0.00 μB per cell
- ρ: 8.35 Mg/m³

Lattice parameters (Å, degrees): 5.568 8.220 6.710 49.49 65.49 90.03
Fractional coordinates of all 10 atoms:
1 Pd 0.234 0.229 0.030
2 Pd 0.766 0.771 0.970
3 Pd 0.749 0.604 0.501
4 Pd 0.737 0.229 0.028
5 Pd 0.263 0.771 0.972
6 Pd 0.251 0.396 0.499
7 Pm 0.755 0.233 0.489
8 Pm 0.245 0.767 0.511
9 Al 0.500 0.500 0.000
10 Si 0.000 0.000 0.000

The following is a DFT calculation (PBE-GGA) of a geometry-optimized Tm6AsPb3S2 structure.

- E_form (uncorrected): -1.093 eV per atom
- Magnetic moment: 0.00 μB per cell
- ρ: 9.81 Mg/m³

Lattice parameters (Å, degrees): 6.647 6.647 8.148 97.85 97.85 119.92
Fractional coordinates of all 12 atoms:
1 Tm 0.408 0.069 0.203
2 Tm 0.069 0.408 0.203
3 Tm 0.592 0.931 0.797
4 Tm 0.726 0.726 0.199
5 Tm 0.931 0.592 0.797
6 Tm 0.274 0.274 0.801
7 Pb 0.500 0.500 0.500
8 Pb 0.840 0.160 0.500
9 Pb 0.160 0.840 0.500
10 As 0.000 0.000 0.000
11 S 0.333 0.667 0.000
12 S 0.667 0.333 0.000

The following is a DFT calculation (PBE-GGA) of a geometry-optimized ZrAsRh2 structure.

- VASP energy: -30.1 eV for the cell shown
- Magnetic moment: 0.00 μB per cell
- ρ: 8.87 Mg/m³

Lattice parameters (Å, degrees): 3.993 3.128 5.577 90.00 90.00 90.00
Fractional coordinates of all 4 atoms:
1 Rh 0.000 0.750 0.005
2 Rh 0.000 0.750 0.495
3 Zr 0.500 0.250 0.250
4 As 0.500 0.750 0.750

The following is a DFT calculation (PBE-GGA) of a geometry-optimized KPm2SmS4 structure.

- E_form (uncorrected): -1.894 eV per atom
- Magnetic moment: 0.00 μB per cell
- ρ: 5.15 Mg/m³

Lattice parameters (Å, degrees): 4.056 7.136 7.144 71.25 90.00 90.00
Fractional coordinates of all 8 atoms:
1 Sm 0.000 0.500 0.500
2 S 0.000 0.765 0.733
3 S 0.500 0.246 0.743
4 S 0.000 0.235 0.267
5 S 0.500 0.754 0.257
6 Pm 0.500 0.000 0.500
7 Pm 0.000 0.000 0.000
8 K 0.500 0.500 0.000

The following is a DFT calculation (PBE-GGA) of a geometry-optimized Ba2Ag2Br structure.

- E_form (uncorrected): -0.630 eV per atom
- Magnetic moment: 0.00 μB per cell
- ρ: 5.34 Mg/m³
- ΔE to the lowest computed polymorph: 209 meV/atom

Lattice parameters (Å, degrees): 9.148 9.148 4.240 90.00 90.00 90.00
Fractional coordinates of all 10 atoms:
1 Br 0.000 0.000 0.000
2 Br 0.500 0.500 0.000
3 Ba 0.316 0.184 0.500
4 Ba 0.816 0.316 0.500
5 Ba 0.184 0.684 0.500
6 Ba 0.684 0.816 0.500
7 Ag 0.892 0.608 0.000
8 Ag 0.608 0.108 0.000
9 Ag 0.392 0.892 0.000
10 Ag 0.108 0.392 0.000

The following is a DFT calculation (PBE-GGA) of a geometry-optimized FeTcGeW structure.

- VASP energy: -36.1 eV for the cell shown
- Magnetic moment: 0.72 μB per cell
- ρ: 12.29 Mg/m³

Lattice parameters (Å, degrees): 4.281 4.281 4.281 60.00 60.00 60.00
Fractional coordinates of all 4 atoms:
1 Fe 0.250 0.250 0.250
2 Tc 0.750 0.750 0.750
3 W 0.000 0.000 0.000
4 Ge 0.500 0.500 0.500

ρ of number 1 (Pm2AlSiPd6)?
8.35 Mg/m³

Among the records above, which one has the highest magnetic moment?
FeTcGeW